# 1
PrScAl2Zn2 | PBE | relaxed

## Properties
total energy	-23.87	eV/f.u.
crystal system	trigonal

abc: 4.440 4.440 7.220
angles: 90.00 90.00 120.00
Fractional positions:
Pr  0.000  0.000  0.000
Sc  0.000  0.000  0.500
Al  0.333  0.667  0.714
Al  0.667  0.333  0.286
Zn  0.333  0.667  0.296
Zn  0.667  0.333  0.704



# 2
PrZrScAl | PBE | relaxed

## Properties
total energy	-23.59	eV/f.u.
crystal system	cubic

abc: 5.138 5.138 5.138
angles: 60.00 60.00 60.00
Fractional positions:
Pr  0.500  0.500  0.500
Sc  0.250  0.250  0.250
Al  0.750  0.750  0.750
Zr  0.000  0.000  0.000



# 3
PrAlSe2 | PBE | relaxed

## Properties
total energy	-18.54	eV/f.u.
crystal system	trigonal
uncorrected formation energy	-762	meV per atom

abc: 3.776 3.776 8.977
angles: 77.86 77.86 60.00
Fractional positions:
Pr  0.000  0.000  0.000
Al  0.500  0.500  0.500
Se  0.113  0.113  0.661
Se  0.887  0.887  0.339